1 | A relaxed structure of PmDy12Tm7. Source: Alexandria via LeMat-Bulk, functional PBE.

```
data_PmDy12Tm7
_chemical_formula_sum 'Pm1 Dy12 Tm7'
_cell_length_a 8.665
_cell_length_b 8.665
_cell_length_c 8.665
_cell_angle_alpha 86.61
_cell_angle_beta 86.61
_cell_angle_gamma 86.61
_space_group_name_H-M_alt 'P 1'
_space_group_IT_number 1
loop_
_space_group_symop_operation_xyz
'x,y,z'
loop_
_atom_site_label
_atom_site_fract_x
_atom_site_fract_y
_atom_site_fract_z
Pm1 0.000 0.000 0.000
Dy1 0.103 0.346 0.429
Dy2 0.231 0.759 0.351
Dy3 0.241 0.649 0.769
Dy4 0.346 0.429 0.103
Dy5 0.351 0.231 0.759
Dy6 0.429 0.103 0.346
Dy7 0.571 0.897 0.654
Dy8 0.649 0.769 0.241
Dy9 0.654 0.571 0.897
Dy10 0.759 0.351 0.231
Dy11 0.769 0.241 0.649
Dy12 0.897 0.654 0.571
Tm1 0.003 0.368 0.878
Tm2 0.122 0.997 0.632
Tm3 0.368 0.878 0.003
Tm4 0.500 0.500 0.500
Tm5 0.632 0.122 0.997
Tm6 0.878 0.003 0.368
Tm7 0.997 0.632 0.122
```

space-group type = R-3, No. 148

2 | A relaxed structure of PmDy12Tm7. Source: Alexandria via LeMat-Bulk, functional PBE.

```
data_PmDy12Tm7
_chemical_formula_sum 'Pm1 Dy12 Tm7'
_cell_length_a 10.916
_cell_length_b 10.916
_cell_length_c 10.916
_cell_angle_alpha 116.01
_cell_angle_beta 116.01
_cell_angle_gamma 116.01
_space_group_name_H-M_alt 'P 1'
_space_group_IT_number 1
loop_
_space_group_symop_operation_xyz
'x,y,z'
loop_
_atom_site_label
_atom_site_fract_x
_atom_site_fract_y
_atom_site_fract_z
Pm1 0.000 0.000 0.000
Dy1 0.003 0.792 0.579
Dy2 0.208 0.421 0.997
Dy3 0.234 0.754 0.298
Dy4 0.246 0.702 0.766
Dy5 0.298 0.234 0.754
Dy6 0.421 0.997 0.208
Dy7 0.579 0.003 0.792
Dy8 0.702 0.766 0.246
Dy9 0.754 0.298 0.234
Dy10 0.766 0.246 0.702
Dy11 0.792 0.579 0.003
Dy12 0.997 0.208 0.421
Tm1 0.134 0.439 0.303
Tm2 0.303 0.134 0.439
Tm3 0.439 0.303 0.134
Tm4 0.500 0.500 0.500
Tm5 0.561 0.697 0.866
Tm6 0.697 0.866 0.561
Tm7 0.866 0.561 0.697
```

space-group type = R-3, No. 148

Which is most stable? The ranking, best first, is 1, 2.

1 | A relaxed structure of PmDy3Tm4. Source: Alexandria via LeMat-Bulk, functional PBE.

```
data_PmDy3Tm4
_chemical_formula_sum 'Pm2 Dy6 Tm8'
_cell_length_a 11.185
_cell_length_b 7.221
_cell_length_c 6.238
_cell_angle_alpha 90.00
_cell_angle_beta 90.00
_cell_angle_gamma 90.00
_space_group_name_H-M_alt 'P 1'
_space_group_IT_number 1
loop_
_space_group_symop_operation_xyz
'x,y,z'
loop_
_atom_site_label
_atom_site_fract_x
_atom_site_fract_y
_atom_site_fract_z
Pm1 0.000 0.126 0.000
Pm2 0.500 0.874 0.500
Dy1 0.000 0.873 0.499
Dy2 0.250 0.127 0.334
Dy3 0.250 0.873 0.834
Dy4 0.500 0.127 0.999
Dy5 0.750 0.127 0.334
Dy6 0.750 0.873 0.834
Tm1 0.000 0.377 0.501
Tm2 0.000 0.622 0.000
Tm3 0.249 0.623 0.333
Tm4 0.251 0.377 0.833
Tm5 0.500 0.378 0.500
Tm6 0.500 0.623 0.001
Tm7 0.749 0.377 0.833
Tm8 0.751 0.623 0.333
```

space-group type = Pmn2_1, No. 31

2 | A relaxed structure of PmDy3Tm4. Source: Alexandria via LeMat-Bulk, functional PBE.

```
data_PmDy3Tm4
_chemical_formula_sum 'Pm1 Dy3 Tm4'
_cell_length_a 11.793
_cell_length_b 11.793
_cell_length_c 6.610
_cell_angle_alpha 106.15
_cell_angle_beta 106.15
_cell_angle_gamma 16.80
_space_group_name_H-M_alt 'P 1'
_space_group_IT_number 1
loop_
_space_group_symop_operation_xyz
'x,y,z'
loop_
_atom_site_label
_atom_site_fract_x
_atom_site_fract_y
_atom_site_fract_z
Pm1 0.000 0.000 0.000
Dy1 0.374 0.374 0.627
Dy2 0.500 0.500 0.500
Dy3 0.626 0.626 0.373
Tm1 0.239 0.239 0.237
Tm2 0.374 0.374 0.116
Tm3 0.626 0.626 0.884
Tm4 0.761 0.761 0.763
```

space-group type = C2/m, No. 12

Which is most stable? The ranking, best first, is 1, 2.

1 | A relaxed structure of PmDy7Tm12. Source: Alexandria via LeMat-Bulk, functional PBE.

```
data_PmDy7Tm12
_chemical_formula_sum 'Pm1 Dy7 Tm12'
_cell_length_a 9.642
_cell_length_b 9.642
_cell_length_c 9.642
_cell_angle_alpha 109.47
_cell_angle_beta 109.47
_cell_angle_gamma 109.47
_space_group_name_H-M_alt 'P 1'
_space_group_IT_number 1
loop_
_space_group_symop_operation_xyz
'x,y,z'
loop_
_atom_site_label
_atom_site_fract_x
_atom_site_fract_y
_atom_site_fract_z
Pm1 0.000 0.000 0.000
Dy1 0.000 0.000 0.500
Dy2 0.000 0.500 0.000
Dy3 0.000 0.500 0.500
Dy4 0.500 0.000 0.000
Dy5 0.500 0.000 0.500
Dy6 0.500 0.500 0.000
Dy7 0.500 0.500 0.500
Tm1 0.000 0.254 0.746
Tm2 0.000 0.746 0.254
Tm3 0.254 0.000 0.746
Tm4 0.254 0.254 0.509
Tm5 0.254 0.509 0.254
Tm6 0.254 0.746 0.000
Tm7 0.491 0.746 0.746
Tm8 0.509 0.254 0.254
Tm9 0.746 0.000 0.254
Tm10 0.746 0.254 0.000
Tm11 0.746 0.491 0.746
Tm12 0.746 0.746 0.491
```

space-group type = Im-3m, No. 229

2 | A relaxed structure of PmDy7Tm12. Source: Alexandria via LeMat-Bulk, functional PBE.

```
data_PmDy7Tm12
_chemical_formula_sum 'Pm1 Dy7 Tm12'
_cell_length_a 8.593
_cell_length_b 8.593
_cell_length_c 8.593
_cell_angle_alpha 95.25
_cell_angle_beta 95.25
_cell_angle_gamma 95.25
_space_group_name_H-M_alt 'P 1'
_space_group_IT_number 1
loop_
_space_group_symop_operation_xyz
'x,y,z'
loop_
_atom_site_label
_atom_site_fract_x
_atom_site_fract_y
_atom_site_fract_z
Pm1 0.000 0.000 0.000
Dy1 0.017 0.082 0.352
Dy2 0.082 0.352 0.017
Dy3 0.352 0.017 0.082
Dy4 0.500 0.500 0.500
Dy5 0.648 0.983 0.918
Dy6 0.918 0.648 0.983
Dy7 0.983 0.918 0.648
Tm1 0.147 0.415 0.478
Tm2 0.189 0.749 0.319
Tm3 0.251 0.681 0.811
Tm4 0.319 0.189 0.749
Tm5 0.415 0.478 0.147
Tm6 0.478 0.147 0.415
Tm7 0.522 0.853 0.585
Tm8 0.585 0.522 0.853
Tm9 0.681 0.811 0.251
Tm10 0.749 0.319 0.189
Tm11 0.811 0.251 0.681
Tm12 0.853 0.585 0.522
```

space-group type = R-3, No. 148

Which is most stable? The ranking, best first, is 2, 1.

1 | A relaxed structure of Pm2Dy8Tm. Source: Alexandria via LeMat-Bulk, functional PBE.

```
data_Pm2Dy8Tm
_chemical_formula_sum 'Pm2 Dy8 Tm1'
_cell_length_a 9.409
_cell_length_b 9.409
_cell_length_c 7.960
_cell_angle_alpha 104.73
_cell_angle_beta 104.73
_cell_angle_gamma 30.97
_space_group_name_H-M_alt 'P 1'
_space_group_IT_number 1
loop_
_space_group_symop_operation_xyz
'x,y,z'
loop_
_atom_site_label
_atom_site_fract_x
_atom_site_fract_y
_atom_site_fract_z
Pm1 0.227 0.227 0.137
Pm2 0.773 0.773 0.863
Dy1 0.045 0.045 0.228
Dy2 0.135 0.135 0.678
Dy3 0.319 0.319 0.592
Dy4 0.410 0.410 0.047
Dy5 0.590 0.590 0.953
Dy6 0.681 0.681 0.408
Dy7 0.865 0.865 0.322
Dy8 0.955 0.955 0.772
Tm1 0.500 0.500 0.500
```

space-group type = C2/m, No. 12

2 | A relaxed structure of Pm2Dy8Tm. Source: Alexandria via LeMat-Bulk, functional PBE.

```
data_Pm2Dy8Tm
_chemical_formula_sum 'Pm2 Dy8 Tm1'
_cell_length_a 8.883
_cell_length_b 8.883
_cell_length_c 6.658
_cell_angle_alpha 99.77
_cell_angle_beta 99.77
_cell_angle_gamma 43.97
_space_group_name_H-M_alt 'P 1'
_space_group_IT_number 1
loop_
_space_group_symop_operation_xyz
'x,y,z'
loop_
_atom_site_label
_atom_site_fract_x
_atom_site_fract_y
_atom_site_fract_z
Pm1 0.198 0.198 0.297
Pm2 0.802 0.802 0.703
Dy1 0.175 0.650 0.097
Dy2 0.244 0.244 0.807
Dy3 0.350 0.825 0.903
Dy4 0.411 0.411 0.593
Dy5 0.589 0.589 0.407
Dy6 0.650 0.175 0.097
Dy7 0.756 0.756 0.193
Dy8 0.825 0.350 0.903
Tm1 0.000 0.000 0.500
```

space-group type = C2/m, No. 12

Which is most stable? The ranking, best first, is 1, 2.

1 | A relaxed structure of PmDyTm5. Source: Alexandria via LeMat-Bulk, functional PBE.

```
data_PmDyTm5
_chemical_formula_sum 'Pm1 Dy1 Tm5'
_cell_length_a 7.682
_cell_length_b 7.682
_cell_length_c 7.682
_cell_angle_alpha 117.60
_cell_angle_beta 81.59
_cell_angle_gamma 133.07
_space_group_name_H-M_alt 'P 1'
_space_group_IT_number 1
loop_
_space_group_symop_operation_xyz
'x,y,z'
loop_
_atom_site_label
_atom_site_fract_x
_atom_site_fract_y
_atom_site_fract_z
Pm1 0.000 0.000 0.000
Dy1 0.758 0.258 0.500
Tm1 0.026 0.269 0.757
Tm2 0.262 0.582 0.320
Tm3 0.262 0.942 0.680
Tm4 0.512 0.269 0.243
Tm5 0.526 0.526 0.000
```

space-group type = Imm2, No. 44

2 | A relaxed structure of PmDyTm5. Source: Alexandria via LeMat-Bulk, functional PBE.

```
data_PmDyTm5
_chemical_formula_sum 'Pm2 Dy2 Tm10'
_cell_length_a 6.672
_cell_length_b 6.672
_cell_length_c 12.000
_cell_angle_alpha 106.66
_cell_angle_beta 106.66
_cell_angle_gamma 60.74
_space_group_name_H-M_alt 'P 1'
_space_group_IT_number 1
loop_
_space_group_symop_operation_xyz
'x,y,z'
loop_
_atom_site_label
_atom_site_fract_x
_atom_site_fract_y
_atom_site_fract_z
Pm1 0.026 0.974 0.750
Pm2 0.974 0.026 0.250
Dy1 0.000 0.500 0.000
Dy2 0.500 0.000 0.500
Tm1 0.139 0.419 0.750
Tm2 0.198 0.645 0.501
Tm3 0.355 0.802 0.999
Tm4 0.411 0.589 0.250
Tm5 0.419 0.139 0.250
Tm6 0.581 0.861 0.750
Tm7 0.589 0.411 0.750
Tm8 0.645 0.198 0.001
Tm9 0.802 0.355 0.499
Tm10 0.861 0.581 0.250
```

space-group type = C2/c, No. 15

Which is most stable? The ranking, best first, is 2, 1.

1 | A relaxed structure of Pm4Dy2Tm3. Source: Alexandria via LeMat-Bulk, functional PBE.

```
data_Pm4Dy2Tm3
_chemical_formula_sum 'Pm8 Dy4 Tm6'
_cell_length_a 9.750
_cell_length_b 9.750
_cell_length_c 7.037
_cell_angle_alpha 90.00
_cell_angle_beta 90.00
_cell_angle_gamma 120.05
_space_group_name_H-M_alt 'P 1'
_space_group_IT_number 1
loop_
_space_group_symop_operation_xyz
'x,y,z'
loop_
_atom_site_label
_atom_site_fract_x
_atom_site_fract_y
_atom_site_fract_z
Pm1 0.028 0.680 0.000
Pm2 0.319 0.351 0.000
Pm3 0.320 0.972 0.500
Pm4 0.351 0.319 0.500
Pm5 0.649 0.681 0.500
Pm6 0.680 0.028 0.500
Pm7 0.681 0.649 0.000
Pm8 0.972 0.320 0.000
Dy1 0.030 0.350 0.500
Dy2 0.350 0.030 0.000
Dy3 0.650 0.970 0.000
Dy4 0.970 0.650 0.500
Tm1 0.000 0.000 0.250
Tm2 0.000 0.000 0.750
Tm3 0.330 0.670 0.250
Tm4 0.330 0.670 0.750
Tm5 0.670 0.330 0.250
Tm6 0.670 0.330 0.750
```

space-group type = Cccm, No. 66

2 | A relaxed structure of Pm4Dy2Tm3. Source: Alexandria via LeMat-Bulk, functional PBE.

```
data_Pm4Dy2Tm3
_chemical_formula_sum 'Pm4 Dy2 Tm3'
_cell_length_a 6.171
_cell_length_b 6.171
_cell_length_c 10.708
_cell_angle_alpha 106.49
_cell_angle_beta 106.49
_cell_angle_gamma 48.44
_space_group_name_H-M_alt 'P 1'
_space_group_IT_number 1
loop_
_space_group_symop_operation_xyz
'x,y,z'
loop_
_atom_site_label
_atom_site_fract_x
_atom_site_fract_y
_atom_site_fract_z
Pm1 0.001 0.001 0.333
Pm2 0.333 0.333 0.112
Pm3 0.667 0.667 0.888
Pm4 0.999 0.999 0.667
Dy1 0.332 0.332 0.776
Dy2 0.668 0.668 0.224
Tm1 0.000 0.000 0.000
Tm2 0.334 0.334 0.446
Tm3 0.666 0.666 0.554
```

space-group type = C2/m, No. 12

Which is most stable? The ranking, best first, is 2, 1.

1 | A relaxed structure of Pm2Dy7Tm2. Source: Alexandria via LeMat-Bulk, functional PBE.

```
data_Pm2Dy7Tm2
_chemical_formula_sum 'Pm2 Dy7 Tm2'
_cell_length_a 6.477
_cell_length_b 6.477
_cell_length_c 8.697
_cell_angle_alpha 98.19
_cell_angle_beta 98.19
_cell_angle_gamma 93.35
_space_group_name_H-M_alt 'P 1'
_space_group_IT_number 1
loop_
_space_group_symop_operation_xyz
'x,y,z'
loop_
_atom_site_label
_atom_site_fract_x
_atom_site_fract_y
_atom_site_fract_z
Pm1 0.178 0.822 0.000
Pm2 0.822 0.178 0.000
Dy1 0.056 0.418 0.708
Dy2 0.107 0.107 0.356
Dy3 0.418 0.056 0.708
Dy4 0.500 0.500 0.500
Dy5 0.582 0.944 0.292
Dy6 0.893 0.893 0.644
Dy7 0.944 0.582 0.292
Tm1 0.352 0.352 0.096
Tm2 0.648 0.648 0.904
```

space-group type = C2/m, No. 12

2 | A relaxed structure of Pm2Dy7Tm2. Source: Alexandria via LeMat-Bulk, functional PBE.

```
data_Pm2Dy7Tm2
_chemical_formula_sum 'Pm2 Dy7 Tm2'
_cell_length_a 8.016
_cell_length_b 8.016
_cell_length_c 6.053
_cell_angle_alpha 106.23
_cell_angle_beta 106.23
_cell_angle_gamma 91.18
_space_group_name_H-M_alt 'P 1'
_space_group_IT_number 1
loop_
_space_group_symop_operation_xyz
'x,y,z'
loop_
_atom_site_label
_atom_site_fract_x
_atom_site_fract_y
_atom_site_fract_z
Pm1 0.086 0.086 0.303
Pm2 0.914 0.914 0.697
Dy1 0.088 0.561 0.321
Dy2 0.273 0.273 0.917
Dy3 0.439 0.912 0.679
Dy4 0.500 0.500 0.500
Dy5 0.561 0.088 0.321
Dy6 0.727 0.727 0.083
Dy7 0.912 0.439 0.679
Tm1 0.285 0.715 0.000
Tm2 0.715 0.285 0.000
```

space-group type = C2/m, No. 12

Which is most stable? The ranking, best first, is 1, 2.

1 | A relaxed structure of Pm2Dy9Tm. Source: Alexandria via LeMat-Bulk, functional PBE.

```
data_Pm2Dy9Tm
_chemical_formula_sum 'Pm2 Dy9 Tm1'
_cell_length_a 11.238
_cell_length_b 11.238
_cell_length_c 3.487
_cell_angle_alpha 90.00
_cell_angle_beta 90.00
_cell_angle_gamma 120.00
_space_group_name_H-M_alt 'P 1'
_space_group_IT_number 1
loop_
_space_group_symop_operation_xyz
'x,y,z'
loop_
_atom_site_label
_atom_site_fract_x
_atom_site_fract_y
_atom_site_fract_z
Pm1 0.333 0.667 0.000
Pm2 0.667 0.333 0.000
Dy1 0.000 0.500 0.000
Dy2 0.173 0.347 0.500
Dy3 0.173 0.827 0.500
Dy4 0.347 0.173 0.500
Dy5 0.500 0.000 0.000
Dy6 0.500 0.500 0.000
Dy7 0.653 0.827 0.500
Dy8 0.827 0.173 0.500
Dy9 0.827 0.653 0.500
Tm1 0.000 0.000 0.000
```

space-group type = P6/mmm, No. 191

2 | A relaxed structure of Pm2Dy9Tm. Source: Alexandria via LeMat-Bulk, functional PBE.

```
data_Pm2Dy9Tm
_chemical_formula_sum 'Pm2 Dy9 Tm1'
_cell_length_a 5.028
_cell_length_b 5.028
_cell_length_c 15.082
_cell_angle_alpha 90.00
_cell_angle_beta 90.00
_cell_angle_gamma 90.00
_space_group_name_H-M_alt 'P 1'
_space_group_IT_number 1
loop_
_space_group_symop_operation_xyz
'x,y,z'
loop_
_atom_site_label
_atom_site_fract_x
_atom_site_fract_y
_atom_site_fract_z
Pm1 0.000 0.000 0.168
Pm2 0.000 0.000 0.832
Dy1 0.000 0.500 0.000
Dy2 0.000 0.500 0.336
Dy3 0.000 0.500 0.664
Dy4 0.500 0.000 0.000
Dy5 0.500 0.000 0.336
Dy6 0.500 0.000 0.664
Dy7 0.500 0.500 0.168
Dy8 0.500 0.500 0.500
Dy9 0.500 0.500 0.832
Tm1 0.000 0.000 0.500
```

space-group type = P4/mmm, No. 123

Which is most stable? The ranking, best first, is 2, 1.

1 | A relaxed structure of Pm2Dy3Tm7. Source: Alexandria via LeMat-Bulk, functional PBE.

```
data_Pm2Dy3Tm7
_chemical_formula_sum 'Pm2 Dy3 Tm7'
_cell_length_a 18.923
_cell_length_b 18.923
_cell_length_c 3.585
_cell_angle_alpha 90.00
_cell_angle_beta 90.00
_cell_angle_gamma 162.90
_space_group_name_H-M_alt 'P 1'
_space_group_IT_number 1
loop_
_space_group_symop_operation_xyz
'x,y,z'
loop_
_atom_site_label
_atom_site_fract_x
_atom_site_fract_y
_atom_site_fract_z
Pm1 0.147 0.853 0.000
Pm2 0.853 0.147 0.000
Dy1 0.314 0.686 0.500
Dy2 0.500 0.500 0.500
Dy3 0.686 0.314 0.500
Tm1 0.000 0.000 0.000
Tm2 0.071 0.929 0.500
Tm3 0.230 0.770 0.000
Tm4 0.411 0.589 0.000
Tm5 0.589 0.411 0.000
Tm6 0.770 0.230 0.000
Tm7 0.929 0.071 0.500
```

space-group type = Cmmm, No. 65

2 | A relaxed structure of Pm2Dy3Tm7. Source: Alexandria via LeMat-Bulk, functional PBE.

```
data_Pm2Dy3Tm7
_chemical_formula_sum 'Pm2 Dy3 Tm7'
_cell_length_a 6.060
_cell_length_b 5.537
_cell_length_c 12.083
_cell_angle_alpha 90.00
_cell_angle_beta 94.93
_cell_angle_gamma 90.00
_space_group_name_H-M_alt 'P 1'
_space_group_IT_number 1
loop_
_space_group_symop_operation_xyz
'x,y,z'
loop_
_atom_site_label
_atom_site_fract_x
_atom_site_fract_y
_atom_site_fract_z
Pm1 0.128 0.000 0.289
Pm2 0.872 0.000 0.711
Dy1 0.000 0.000 0.000
Dy2 0.470 0.500 0.323
Dy3 0.530 0.500 0.677
Tm1 0.050 0.500 0.830
Tm2 0.277 0.000 0.558
Tm3 0.410 0.000 0.841
Tm4 0.500 0.500 0.000
Tm5 0.590 0.000 0.159
Tm6 0.723 0.000 0.442
Tm7 0.950 0.500 0.170
```

space-group type = P2/m, No. 10

Which is most stable? The ranking, best first, is 1, 2.